[1]
Density functional theory data (GGA-PBE) for crystalline MnBIrRh at its relaxed geometry.

Energy of formation from the pure elements = 76 meV per atom
VASP energy = -0.2918 hartree per atom

Lattice parameters (Å, degrees): 4.088 4.088 4.088 60.00 60.00 60.00
Positions (direct):
Mn: 0.000 0.000 0.000
B: 0.500 0.500 0.500
Ir: 0.750 0.750 0.750
Rh: 0.250 0.250 0.250

[2]
Density functional theory data (GGA-PBE) for crystalline CaZnF2 at its relaxed geometry.

Offset from the most stable computed form = 858 meV per atom
Formation energy (no corrections) = -1.767 eV/atom
VASP energy = -0.1294 hartree per atom

Lattice parameters (Å, degrees): 6.388 6.388 6.388 35.32 35.32 35.32
Positions (direct):
Ca: 0.000 0.000 0.000
Zn: 0.500 0.500 0.500
F: 0.121 0.121 0.121
F: 0.879 0.879 0.879

[3]
Density functional theory data (GGA-PBE) for crystalline CdHgGeF6 at its relaxed geometry.

Formation energy (no corrections) = -2.044 eV/atom
VASP energy = -0.1448 hartree per atom

Lattice parameters (Å, degrees): 5.701 5.701 6.884 90.11 90.11 120.19
Positions (direct):
Cd: 0.000 0.000 0.000
Hg: 0.335 0.665 0.500
Ge: 0.667 0.333 0.000
F: 0.390 0.074 0.849
F: 0.393 0.315 0.152
F: 0.685 0.607 0.848
F: 0.686 0.077 0.152
F: 0.923 0.314 0.848
F: 0.926 0.610 0.151

[4]
Density functional theory data (GGA-PBE) for crystalline PuP3Pd5 at its relaxed geometry.

Energy of formation from the pure elements = -560 meV per atom
VASP energy = -0.2514 hartree per atom

Lattice parameters (Å, degrees): 6.752 6.752 11.934 90.00 90.00 146.15
Positions (direct):
Pu: 0.121 0.879 0.750
Pu: 0.879 0.121 0.250
P: 0.134 0.866 0.250
P: 0.401 0.599 0.070
P: 0.401 0.599 0.430
P: 0.599 0.401 0.570
P: 0.599 0.401 0.930
P: 0.866 0.134 0.750
Pd: 0.000 0.000 0.000
Pd: 0.000 0.000 0.500
Pd: 0.224 0.776 0.078
Pd: 0.224 0.776 0.422
Pd: 0.417 0.583 0.638
Pd: 0.417 0.583 0.862
Pd: 0.583 0.417 0.138
Pd: 0.583 0.417 0.362
Pd: 0.776 0.224 0.578
Pd: 0.776 0.224 0.922

[5]
Density functional theory data (GGA-PBE) for crystalline AcSm2TmSb4 at its relaxed geometry.

Formation energy (no corrections) = -1.120 eV/atom
VASP energy = -0.1997 hartree per atom

Lattice parameters (Å, degrees): 7.834 4.531 7.848 90.00 109.41 90.00
Positions (direct):
Ac: 0.000 0.000 0.000
Sm: 0.000 0.500 0.500
Sm: 0.500 0.000 0.500
Tm: 0.500 0.500 0.000
Sb: 0.262 0.000 0.750
Sb: 0.265 0.500 0.259
Sb: 0.735 0.500 0.741
Sb: 0.738 0.000 0.250

[6]
Density functional theory data (GGA-PBE) for crystalline Pm2ZnC at its relaxed geometry.

Energy of formation from the pure elements = -121 meV per atom
VASP energy = -0.1882 hartree per atom

Lattice parameters (Å, degrees): 7.807 7.807 7.807 27.91 27.91 27.91
Positions (direct):
Pm: 0.229 0.229 0.229
Pm: 0.771 0.771 0.771
Zn: 0.000 0.000 0.000
C: 0.500 0.500 0.500

[7]
Density functional theory data (GGA-PBE) for crystalline Sr2CdBiP at its relaxed geometry.

Energy of formation from the pure elements = -636 meV per atom
Offset from the most stable computed form = 149 meV per atom
VASP energy = -0.1231 hartree per atom

Lattice parameters (Å, degrees): 5.856 5.856 4.932 90.00 90.00 90.00
Positions (direct):
Sr: 0.000 0.500 0.000
Sr: 0.500 0.000 0.000
Cd: 0.000 0.000 0.500
Bi: 0.500 0.500 0.500
P: 0.000 0.000 0.000

[8]
Density functional theory data (GGA-PBE) for crystalline BaMo2Pb2 at its relaxed geometry.

Energy of formation from the pure elements = 463 meV per atom
Offset from the most stable computed form = 134 meV per atom
VASP energy = -0.2109 hartree per atom

Lattice parameters (Å, degrees): 8.850 8.850 3.325 90.00 90.00 90.00
Positions (direct):
Ba: 0.000 0.000 0.000
Ba: 0.500 0.500 0.000
Mo: 0.090 0.410 0.000
Mo: 0.410 0.910 0.000
Mo: 0.590 0.090 0.000
Mo: 0.910 0.590 0.000
Pb: 0.180 0.680 0.500
Pb: 0.320 0.180 0.500
Pb: 0.680 0.820 0.500
Pb: 0.820 0.320 0.500

[9]
Density functional theory data (GGA-PBE) for crystalline PdC3F at its relaxed geometry.

Offset from the most stable computed form = 0 meV per atom
Formation energy (no corrections) = 2.612 eV/atom
VASP energy = -0.1593 hartree per atom

Lattice parameters (Å, degrees): 4.022 4.022 4.022 90.00 90.00 90.00
Positions (direct):
Pd: 0.000 0.000 0.000
C: 0.000 0.000 0.500
C: 0.000 0.500 0.000
C: 0.500 0.000 0.000
F: 0.500 0.500 0.500

[10]
Density functional theory data (GGA-PBE) for crystalline NaLi2PrPb2 at its relaxed geometry.

Energy of formation from the pure elements = -350 meV per atom
VASP energy = -0.1191 hartree per atom

Lattice parameters (Å, degrees): 5.003 5.003 7.221 90.00 90.00 120.00
Positions (direct):
Na: 0.000 0.000 0.000
Li: 0.333 0.667 0.779
Li: 0.667 0.333 0.221
Pr: 0.000 0.000 0.500
Pb: 0.333 0.667 0.274
Pb: 0.667 0.333 0.726

[11]
Density functional theory data (GGA-PBE) for crystalline SrPb4Au at its relaxed geometry.

Energy of formation from the pure elements = -41 meV per atom
VASP energy = -0.1227 hartree per atom

Lattice parameters (Å, degrees): 6.475 6.475 6.475 60.00 60.00 60.00
Positions (direct):
Sr: 0.000 0.000 0.000
Pb: 0.375 0.375 0.375
Pb: 0.375 0.375 0.874
Pb: 0.375 0.874 0.375
Pb: 0.874 0.375 0.375
Au: 0.750 0.750 0.750

[12]
Density functional theory data (GGA-PBE) for crystalline NdErTl2S4 at its relaxed geometry.

Formation energy (no corrections) = -1.465 eV/atom
VASP energy = -0.1943 hartree per atom

Lattice parameters (Å, degrees): 7.087 4.088 7.874 90.00 107.41 90.00
Positions (direct):
Nd: 0.000 0.000 0.000
Er: 0.500 0.500 0.000
Tl: 0.000 0.500 0.500
Tl: 0.500 0.000 0.500
S: 0.244 0.500 0.202
S: 0.277 0.000 0.802
S: 0.723 0.000 0.198
S: 0.756 0.500 0.798

[13]
Density functional theory data (GGA-PBE) for crystalline Nd2Sm8Er at its relaxed geometry.

Energy of formation from the pure elements = 17 meV per atom
Offset from the most stable computed form = 0 meV per atom
VASP energy = -0.1726 hartree per atom

Lattice parameters (Å, degrees): 9.587 9.587 8.115 104.73 104.73 31.02
Positions (direct):
Nd: 0.227 0.227 0.137
Nd: 0.773 0.773 0.863
Sm: 0.045 0.045 0.229
Sm: 0.135 0.135 0.679
Sm: 0.319 0.319 0.591
Sm: 0.410 0.410 0.048
Sm: 0.590 0.590 0.952
Sm: 0.681 0.681 0.409
Sm: 0.865 0.865 0.321
Sm: 0.955 0.955 0.771
Er: 0.500 0.500 0.500

[14]
Density functional theory data (GGA-PBE) for crystalline Ca2SnPd2 at its relaxed geometry.

Energy of formation from the pure elements = -540 meV per atom
VASP energy = -0.1550 hartree per atom

Lattice parameters (Å, degrees): 5.625 5.625 5.625 119.91 119.91 90.15
Positions (direct):
Ca: 0.250 0.750 0.500
Ca: 0.750 0.250 0.500
Sn: 0.000 0.000 0.000
Pd: 0.334 0.334 0.000
Pd: 0.666 0.666 0.000

[15]
Density functional theory data (GGA-PBE) for crystalline GdYAu at its relaxed geometry.

Energy of formation from the pure elements = -551 meV per atom
Offset from the most stable computed form = 0 meV per atom
VASP energy = -0.3121 hartree per atom

Lattice parameters (Å, degrees): 6.657 6.657 6.657 148.39 148.39 45.31
Positions (direct):
Gd: 0.000 0.000 0.000
Y: 0.290 0.290 0.000
Au: 0.650 0.650 0.000

[16]
Density functional theory data (GGA-PBE) for crystalline Fe2SiSn2 at its relaxed geometry.

Offset from the most stable computed form = 283 meV per atom
Formation energy (no corrections) = 0.484 eV/atom
VASP energy = -0.2053 hartree per atom

Lattice parameters (Å, degrees): 8.018 8.018 2.850 90.00 90.00 90.00
Positions (direct):
Fe: 0.105 0.395 0.000
Fe: 0.395 0.895 0.000
Fe: 0.605 0.105 0.000
Fe: 0.895 0.605 0.000
Si: 0.000 0.000 0.500
Si: 0.500 0.500 0.500
Sn: 0.184 0.684 0.500
Sn: 0.316 0.184 0.500
Sn: 0.684 0.816 0.500
Sn: 0.816 0.316 0.500

[17]
Density functional theory data (GGA-PBE) for crystalline MgAlMo at its relaxed geometry.

Energy of formation from the pure elements = 99 meV per atom
Offset from the most stable computed form = 8 meV per atom
VASP energy = -0.1944 hartree per atom

Lattice parameters (Å, degrees): 6.961 6.961 6.961 157.08 157.08 32.63
Positions (direct):
Mg: 0.000 0.000 0.000
Al: 0.319 0.319 0.000
Mo: 0.670 0.670 0.000

[18]
Density functional theory data (GGA-PBE) for crystalline Hf5As2 at its relaxed geometry.

Energy of formation from the pure elements = -589 meV per atom
VASP energy = -0.3317 hartree per atom

Lattice parameters (Å, degrees): 7.615 7.615 7.176 94.56 94.56 42.70
Positions (direct):
Hf: 0.118 0.334 0.304
Hf: 0.150 0.850 0.750
Hf: 0.273 0.536 0.069
Hf: 0.334 0.118 0.804
Hf: 0.464 0.727 0.431
Hf: 0.536 0.273 0.569
Hf: 0.666 0.882 0.196
Hf: 0.727 0.464 0.931
Hf: 0.850 0.150 0.250
Hf: 0.882 0.666 0.696
As: 0.065 0.726 0.423
As: 0.274 0.935 0.077
As: 0.726 0.065 0.923
As: 0.935 0.274 0.577

[19]
Density functional theory data (GGA-PBE) for crystalline Na4TlHg3 at its relaxed geometry.

Energy of formation from the pure elements = -202 meV per atom
VASP energy = -0.0467 hartree per atom

Lattice parameters (Å, degrees): 8.966 8.966 5.080 106.36 106.36 32.92
Positions (direct):
Na: 0.128 0.128 0.128
Na: 0.372 0.372 0.372
Na: 0.628 0.628 0.628
Na: 0.872 0.872 0.872
Tl: 0.000 0.000 0.500
Hg: 0.249 0.249 0.749
Hg: 0.500 0.500 0.000
Hg: 0.751 0.751 0.251

[20]
Density functional theory data (GGA-PBE) for crystalline Li2Ac3Ag7 at its relaxed geometry.

Energy of formation from the pure elements = -200 meV per atom
Offset from the most stable computed form = 0 meV per atom
VASP energy = -0.1179 hartree per atom

Lattice parameters (Å, degrees): 9.735 9.735 9.735 35.66 35.66 35.66
Positions (direct):
Li: 0.168 0.168 0.168
Li: 0.832 0.832 0.832
Ac: 0.362 0.362 0.362
Ac: 0.500 0.500 0.500
Ac: 0.638 0.638 0.638
Ag: 0.000 0.000 0.000
Ag: 0.078 0.078 0.578
Ag: 0.078 0.578 0.078
Ag: 0.422 0.922 0.922
Ag: 0.578 0.078 0.078
Ag: 0.922 0.422 0.922
Ag: 0.922 0.922 0.422

[21]
Density functional theory data (GGA-PBE) for crystalline Li4BeIn at its relaxed geometry.

Energy of formation from the pure elements = 168 meV per atom
VASP energy = -0.0803 hartree per atom

Lattice parameters (Å, degrees): 5.074 5.074 5.074 60.00 60.00 60.00
Positions (direct):
Li: 0.125 0.125 0.125
Li: 0.125 0.125 0.626
Li: 0.125 0.626 0.125
Li: 0.626 0.125 0.125
Be: 0.750 0.750 0.750
In: 0.500 0.500 0.500

[22]
Density functional theory data (GGA-PBE) for crystalline SrLaNbZnO6 at its relaxed geometry.

Formation energy (no corrections) = -2.610 eV/atom
VASP energy = -0.2712 hartree per atom

Lattice parameters (Å, degrees): 5.720 5.720 5.720 60.00 60.00 60.00
Positions (direct):
Sr: 0.000 0.000 0.000
La: 0.500 0.500 0.500
Nb: 0.250 0.250 0.250
Zn: 0.750 0.750 0.750
O: 0.004 0.004 0.496
O: 0.004 0.496 0.004
O: 0.004 0.496 0.496
O: 0.496 0.004 0.004
O: 0.496 0.004 0.496
O: 0.496 0.496 0.004

[23]
Density functional theory data (GGA-PBE) for crystalline Pm2Ho2Zn at its relaxed geometry.

Energy of formation from the pure elements = -129 meV per atom
Offset from the most stable computed form = 0 meV per atom
VASP energy = -0.1512 hartree per atom

Lattice parameters (Å, degrees): 11.589 11.589 11.589 162.24 162.24 25.22
Positions (direct):
Pm: 0.192 0.192 0.000
Pm: 0.808 0.808 0.000
Ho: 0.423 0.423 0.000
Ho: 0.577 0.577 0.000
Zn: 0.000 0.000 0.000

[24]
Density functional theory data (GGA-PBE) for crystalline Tb12Sm6Sc at its relaxed geometry.

Energy of formation from the pure elements = 351 meV per atom
Offset from the most stable computed form = 203 meV per atom
VASP energy = -0.1616 hartree per atom

Lattice parameters (Å, degrees): 9.908 9.908 9.908 112.56 112.56 112.56
Positions (direct):
Tb: 0.000 0.382 0.618
Tb: 0.000 0.618 0.382
Tb: 0.267 0.267 0.581
Tb: 0.267 0.581 0.267
Tb: 0.382 0.000 0.618
Tb: 0.382 0.618 0.000
Tb: 0.419 0.733 0.733
Tb: 0.581 0.267 0.267
Tb: 0.618 0.000 0.382
Tb: 0.618 0.382 0.000
Tb: 0.733 0.419 0.733
Tb: 0.733 0.733 0.419
Sm: 0.135 0.820 0.820
Sm: 0.180 0.180 0.865
Sm: 0.180 0.865 0.180
Sm: 0.820 0.135 0.820
Sm: 0.820 0.820 0.135
Sm: 0.865 0.180 0.180
Sc: 0.500 0.500 0.500

[25]
Density functional theory data (GGA-PBE) for crystalline In3CoHg at its relaxed geometry.

Energy of formation from the pure elements = -6 meV per atom
Offset from the most stable computed form = 0 meV per atom
VASP energy = -0.1150 hartree per atom

Lattice parameters (Å, degrees): 5.001 5.001 5.001 90.00 90.00 90.00
Positions (direct):
In: 0.000 0.000 0.500
In: 0.000 0.500 0.000
In: 0.500 0.000 0.000
Co: 0.000 0.000 0.000
Hg: 0.500 0.500 0.500